This record from Alexandria describes a relaxed structure of HoZn3P3. The functional is PBE.

Geometry as POSCAR:
```
HoZn3P3
1.0
3.9955 0.0000 0.0000
-1.9978 3.4602 0.0000
0.0000 0.0000 19.8280
Ho Zn P
2 6 6
Direct
0.0000 0.0000 0.0000
0.0000 0.0000 0.5000
0.3333 0.6667 0.1281
0.3333 0.6667 0.3719
0.3333 0.6667 0.7500
0.6667 0.3333 0.2500
0.6667 0.3333 0.6281
0.6667 0.3333 0.8719
0.3333 0.6667 0.2500
0.3333 0.6667 0.5833
0.3333 0.6667 0.9167
0.6667 0.3333 0.0833
0.6667 0.3333 0.4167
0.6667 0.3333 0.7500
```

Computed properties:
SG ... No. 194
ρ ... 5.50 g/cm³
DFT formation energy ... -0.599 eV per atom
Uncorrected energy ... -4.12 eV per atom